DFT (PBE) results for crystalline TiSO2 at its relaxed geometry.

Lattice parameters (Å, degrees): 5.9424 5.9424 5.9499 60.04 60.04 90.00
Each line ends with the local moment (μB).
Sites, in units of the cell vectors:
S: 0.5000 0.5000 0.0000  1.15
S: 0.2500 0.7500 0.5000  1.15
O: 0.8761 0.1250 0.2500  0.05
O: 0.8739 0.6250 0.2500  0.05
O: 0.3750 0.1239 0.7500  0.06
O: 0.8750 0.1261 0.7500  0.05
Ti: 0.0000 0.0000 0.0000  -0.01
Ti: 0.7500 0.2500 0.5000  -0.01

Properties
formation energy (no corrections): -1.572 eV per atom
V: 149 Å³/cell
spin magnetization: 0.50 μB/atom